Computed, not measured: Zr3CrPb after structural relaxation at the PBE level of DFT.

- Distance to the lowest polymorph of the same formula: 0.000 eV/atom
- Energy of formation: 0.368 eV/atom
- SG: Pm-3m, No. 221

Cell: 4.880 4.880 4.880 Å, 90.00 90.00 90.00°
Positions (direct):
Zr 0.500 0.000 0.000
Zr 0.000 0.500 0.000
Zr 0.000 0.000 0.500
Cr 0.000 0.000 0.000
Pb 0.500 0.500 0.500